DFT (PBE) results for crystalline MgSbPI2 at its relaxed geometry.

Structure (POSCAR):
```
MgSbPI2
1.0
5.531 0.000 0.000
0.000 5.531 0.000
0.000 0.000 5.853
Mg Sb P I
1 1 1 2
direct
0.000 0.000 0.000 Mg
0.000 0.000 0.500 Sb
0.500 0.500 0.500 P
0.000 0.500 0.000 I
0.500 0.000 0.000 I
```

Summary:
E_form (uncorrected)   54.11 kJ per mole of atoms


DFT (PBE) results for crystalline Pa2TcHg at its relaxed geometry.

Structure (POSCAR):
```
Pa2TcHg
1.0
1.895 1.094 9.612
-1.895 1.094 9.612
0.000 -2.188 9.612
Pa Tc Hg
2 1 1
direct
0.112 0.112 0.112 Pa
0.888 0.888 0.888 Pa
0.500 0.500 0.500 Tc
0.000 0.000 0.000 Hg
```

Summary:
E_form   0.363 eV per atom